A relaxed structure of AlCdNO, computed with PBE.

The structure belongs to space group P4/nmm (No. 129, origin choice 2); the cell edges are 3.809, 3.809 and 7.349 Å and the angles 90.00°, 90.00° and 90.00°. Symmetry generates all atoms from Al at (0.250, 0.250, 0.088), Cd at (0.250, 0.750, 0.500), N at (0.250, 0.250, 0.332) and O at (0.250, 0.750, 0.000).

The value obtained for the offset from the most stable computed form is 253 meV per atom. As for the crystal system: tetragonal. The uncorrected energy is -5.498 eV/atom.